#P
! CsHfAg, relaxed, DFT PBE-GGA; values from VASP
&SYSTEM
  ibrav = 0, nat = 3, ntyp = 3
/
ATOMIC_SPECIES
Hf 178.49 Hf.upf
Ag 107.87 Ag.upf
Cs 132.91 Cs.upf
ATOMIC_POSITIONS crystal
Hf 0.000 0.000 0.000
Ag 0.250 0.250 0.250
Cs 0.750 0.750 0.750
CELL_PARAMETERS angstrom
0.000 3.643 3.643
3.643 0.000 3.643
3.643 3.643 0.000
! mass density: 7.201 g cm⁻³
! crystal system: cubic

#Q
! CsHfAg, relaxed, DFT PBE-GGA; values from VASP
&SYSTEM
  ibrav = 0, nat = 3, ntyp = 3
/
ATOMIC_SPECIES
Hf 178.49 Hf.upf
Ag 107.87 Ag.upf
Cs 132.91 Cs.upf
ATOMIC_POSITIONS crystal
Hf 0.750 0.750 0.750
Ag 0.250 0.250 0.250
Cs 0.000 0.000 0.000
CELL_PARAMETERS angstrom
0.000 3.719 3.719
3.719 0.000 3.719
3.719 3.719 0.000
! mass density: 6.770 g cm⁻³
! crystal system: cubic

Which structure is the most stable? The one labeled #P.

#P
! CsAgHg, relaxed, DFT PBE-GGA; values from VASP
&SYSTEM
  ibrav = 0, nat = 3, ntyp = 3
/
ATOMIC_SPECIES
Ag 107.87 Ag.upf
Hg 200.59 Hg.upf
Cs 132.91 Cs.upf
ATOMIC_POSITIONS crystal
Ag 0.250 0.250 0.250
Hg 0.000 0.000 0.000
Cs 0.750 0.750 0.750
CELL_PARAMETERS angstrom
-0.056 -4.536 -3.484
1.830 -5.079 1.889
-3.737 -4.239 0.884
! mass density: 5.539 g cm⁻³
! crystal system: cubic

#Q
! CsAgHg, relaxed, DFT PBE-GGA; values from VASP
&SYSTEM
  ibrav = 0, nat = 3, ntyp = 3
/
ATOMIC_SPECIES
Hg 200.59 Hg.upf
Cs 132.91 Cs.upf
Ag 107.87 Ag.upf
ATOMIC_POSITIONS crystal
Hg 0.750 0.750 0.750
Cs 0.250 0.250 0.250
Ag 0.000 0.000 0.000
CELL_PARAMETERS angstrom
0.000 4.030 4.030
4.030 0.000 4.030
4.030 4.030 0.000
! mass density: 5.601 g cm⁻³
! crystal system: cubic

Which structure is the most stable? The one labeled #Q.

#P
! CsAgIrS3, relaxed, DFT PBE-GGA; values from VASP
&SYSTEM
  ibrav = 0, nat = 12, ntyp = 4
/
ATOMIC_SPECIES
Ag 107.87 Ag.upf
S 32.06 S.upf
Cs 132.91 Cs.upf
Ir 192.22 Ir.upf
ATOMIC_POSITIONS crystal
Ag 0.550 0.450 0.250
Ag 0.450 0.550 0.750
S 0.402 0.598 0.516
S 0.057 0.943 0.750
S 0.598 0.402 0.016
S 0.943 0.057 0.250
S 0.598 0.402 0.484
S 0.402 0.598 0.984
Cs 0.751 0.249 0.750
Cs 0.249 0.751 0.250
Ir 0.000 0.000 0.500
Ir 0.000 0.000 0.000
CELL_PARAMETERS angstrom
1.882 -7.868 0.000
1.882 7.868 0.000
0.000 0.000 9.811
! mass density: 6.050 g cm⁻³
! crystal system: orthorhombic

#Q
! CsAgIrS3, relaxed, DFT PBE-GGA; values from VASP
&SYSTEM
  ibrav = 0, nat = 12, ntyp = 4
/
ATOMIC_SPECIES
S 32.06 S.upf
Ag 107.87 Ag.upf
Cs 132.91 Cs.upf
Ir 192.22 Ir.upf
ATOMIC_POSITIONS crystal
S 0.738 0.250 0.902
S 0.844 0.750 0.623
S 0.515 0.250 0.382
S 0.485 0.750 0.618
S 0.156 0.250 0.377
S 0.262 0.750 0.098
Ag 0.059 0.250 0.106
Ag 0.941 0.750 0.894
Cs 0.750 0.750 0.231
Cs 0.250 0.250 0.769
Ir 0.331 0.750 0.362
Ir 0.669 0.250 0.638
CELL_PARAMETERS angstrom
-7.179 -4.309 1.058
1.346 -1.441 3.265
-0.348 8.975 4.105
! mass density: 5.982 g cm⁻³
! crystal system: monoclinic

Which structure is the most stable? The one labeled #Q.

#P
! CsKAgP, relaxed, DFT PBE-GGA; values from VASP
&SYSTEM
  ibrav = 0, nat = 8, ntyp = 4
/
ATOMIC_SPECIES
Cs 132.91 Cs.upf
K 39.10 K.upf
P 30.97 P.upf
Ag 107.87 Ag.upf
ATOMIC_POSITIONS crystal
Cs 0.000 0.963 0.310
Cs 0.000 0.310 0.963
K 0.500 0.685 0.026
K 0.500 0.026 0.685
P 0.500 0.263 0.263
P 0.000 0.745 0.745
Ag 0.252 0.505 0.505
Ag 0.748 0.505 0.505
CELL_PARAMETERS angstrom
-6.155 0.477 -0.813
-0.488 -6.584 -0.174
-0.704 1.720 6.338
! mass density: 3.956 g cm⁻³
! crystal system: orthorhombic

#Q
! CsKAgP, relaxed, DFT PBE-GGA; values from VASP
&SYSTEM
  ibrav = 0, nat = 8, ntyp = 4
/
ATOMIC_SPECIES
P 30.97 P.upf
K 39.10 K.upf
Ag 107.87 Ag.upf
Cs 132.91 Cs.upf
ATOMIC_POSITIONS crystal
P 0.781 0.250 0.741
P 0.219 0.750 0.259
K 0.817 0.750 0.484
K 0.183 0.250 0.516
Ag 0.000 0.500 0.000
Ag 0.000 0.000 0.000
Cs 0.541 0.250 0.189
Cs 0.459 0.750 0.811
CELL_PARAMETERS angstrom
-1.885 5.419 -3.075
1.294 -2.631 -5.432
-5.496 -3.779 0.521
! mass density: 3.987 g cm⁻³
! crystal system: monoclinic

Which structure is the most stable? The one labeled #Q.

#P
! CsKAgSb, relaxed, DFT PBE-GGA; values from VASP
&SYSTEM
  ibrav = 0, nat = 8, ntyp = 4
/
ATOMIC_SPECIES
K 39.10 K.upf
Ag 107.87 Ag.upf
Cs 132.91 Cs.upf
Sb 121.76 Sb.upf
ATOMIC_POSITIONS crystal
K 0.000 0.826 0.491
K 0.000 0.491 0.826
Ag 0.248 0.995 0.995
Ag 0.752 0.995 0.995
Cs 0.500 0.522 0.178
Cs 0.500 0.178 0.522
Sb 0.500 0.742 0.742
Sb 0.000 0.250 0.250
CELL_PARAMETERS angstrom
6.641 0.000 0.000
0.000 5.612 4.249
0.000 -5.612 4.249
! mass density: 4.212 g cm⁻³
! crystal system: orthorhombic

#Q
! CsKAgSb, relaxed, DFT PBE-GGA; values from VASP
&SYSTEM
  ibrav = 0, nat = 8, ntyp = 4
/
ATOMIC_SPECIES
K 39.10 K.upf
Sb 121.76 Sb.upf
Ag 107.87 Ag.upf
Cs 132.91 Cs.upf
ATOMIC_POSITIONS crystal
K 0.686 0.750 0.498
K 0.314 0.250 0.502
Sb 0.730 0.250 0.275
Sb 0.270 0.750 0.725
Ag 0.500 0.000 0.000
Ag 0.500 0.500 0.000
Cs 0.041 0.750 0.173
Cs 0.959 0.250 0.827
CELL_PARAMETERS angstrom
-4.008 -0.799 5.303
4.535 -3.777 2.859
4.107 5.997 1.407
! mass density: 4.272 g cm⁻³
! crystal system: monoclinic

Which structure is the most stable? The one labeled #Q.

#P
! CsNiAg, relaxed, DFT PBE-GGA; values from VASP
&SYSTEM
  ibrav = 0, nat = 3, ntyp = 3
/
ATOMIC_SPECIES
Cs 132.91 Cs.upf
Ni 58.69 Ni.upf
Ag 107.87 Ag.upf
ATOMIC_POSITIONS crystal
Cs 0.250 0.250 0.250
Ni 0.750 0.750 0.750
Ag 0.000 0.000 0.000
CELL_PARAMETERS angstrom
-2.849 -4.314 -0.623
-4.256 -0.752 2.905
-4.722 0.290 -2.176
! mass density: 4.980 g cm⁻³
! crystal system: cubic

#Q
! CsNiAg, relaxed, DFT PBE-GGA; values from VASP
&SYSTEM
  ibrav = 0, nat = 3, ntyp = 3
/
ATOMIC_SPECIES
Ni 58.69 Ni.upf
Ag 107.87 Ag.upf
Cs 132.91 Cs.upf
ATOMIC_POSITIONS crystal
Ni 0.000 0.000 0.000
Ag 0.250 0.250 0.250
Cs 0.750 0.750 0.750
CELL_PARAMETERS angstrom
0.000 3.557 3.557
3.557 0.000 3.557
3.557 3.557 0.000
! mass density: 5.524 g cm⁻³
! crystal system: cubic

Which structure is the most stable? The one labeled #Q.